First-principles (PBE) data for a relaxed structure of NdHo3C, as listed in Alexandria via LeMat-Bulk.

a b c (Å): 5.0421 5.0421 5.0421
angles (deg): 90.00 90.00 90.00
Space group Pm-3m (No. 221)
Inequivalent atoms, fractional coordinates:
Nd: 0.0000 0.0000 0.0000 (multiplicity 1)
Ho: 0.0000 0.5000 0.5000 (multiplicity 3)
C: 0.5000 0.5000 0.5000 (multiplicity 1)

Output
Its formation energy is -0.0218 eV per atom. The calculation puts the calculated total energy at -27.834 eV for the cell shown. The value obtained for the volume is 128.2 Å³/f.u.


First-principles (PBE) data for a relaxed structure of KAg3P, as listed in Alexandria via LeMat-Bulk.

a b c (Å): 4.9706 4.9706 4.9706
angles (deg): 90.00 90.00 90.00
Space group Pm-3m (No. 221)
Inequivalent atoms, fractional coordinates:
K: 0.0000 0.0000 0.0000 (multiplicity 1)
Ag: 0.0000 0.5000 0.5000 (multiplicity 3)
P: 0.5000 0.5000 0.5000 (multiplicity 1)

Output
Its formation energy is 0.0699 eV per atom. As for the polymorph energy (0 for the lowest one): 0.000 eV/atom. The calculation puts the calculated total energy at -14.712 eV for the cell shown. The value obtained for the volume is 122.8 Å³/f.u.


First-principles (PBE) data for a relaxed structure of Tl3ReC, as listed in Alexandria via LeMat-Bulk.

a b c (Å): 5.3428 5.3428 5.3428
angles (deg): 90.00 90.00 90.00
Space group Pm-3m (No. 221)
Inequivalent atoms, fractional coordinates:
Tl: 0.0000 0.0000 0.5000 (multiplicity 3)
Re: 0.0000 0.0000 0.0000 (multiplicity 1)
C: 0.5000 0.5000 0.5000 (multiplicity 1)

Output
Its formation energy is 1.9188 eV per atom. As for the polymorph energy (0 for the lowest one): 0.005 eV/atom. The calculation puts the calculated total energy at -19.177 eV for the cell shown. The value obtained for the volume is 152.5 Å³/f.u.


First-principles (PBE) data for a relaxed structure of Rb3CaTm2Te6, as listed in Alexandria via LeMat-Bulk.

a b c (Å): 7.7920 13.4991 9.0253
angles (deg): 90.00 106.73 90.00
Space group C2/m (No. 12)
Inequivalent atoms, fractional coordinates:
Rb: 0.0000 0.0000 0.0000 (multiplicity 2)
Rb: 0.0000 0.3369 0.0000 (multiplicity 4)
Ca: 0.0000 0.5000 0.5000 (multiplicity 2)
Tm: 0.0000 0.1670 0.5000 (multiplicity 4)
Te: 0.2206 0.0000 0.6985 (multiplicity 4)
Te: 0.2396 0.3272 0.6997 (multiplicity 8)

Output
The raw formation energy comes out at -1.2765 eV per atom. The calculation puts the calculated total energy at -96.030 eV for the cell shown. The value obtained for the volume is 454.6 Å³/f.u.


First-principles (PBE) data for a relaxed structure of Y2Bi2Ir, as listed in Alexandria via LeMat-Bulk.

a b c (Å): 4.1412 4.1412 16.8315
angles (deg): 90.00 90.00 90.00
Space group I4/mmm (No. 139)
Inequivalent atoms, fractional coordinates:
Y: 0.0000 0.0000 0.0919 (multiplicity 4)
Bi: 0.0000 0.5000 0.2500 (multiplicity 4)
Ir: 0.0000 0.0000 0.5000 (multiplicity 2)

Output
Its formation energy is 0.0351 eV per atom. As for the polymorph energy (0 for the lowest one): 0.380 eV/atom. The calculation puts the calculated total energy at -58.751 eV for the cell shown. The value obtained for the volume is 144.3 Å³/f.u.


First-principles (PBE) data for a relaxed structure of LiRuBr, as listed in Alexandria via LeMat-Bulk.

a b c (Å): 6.5418 3.7574 10.4657
angles (deg): 90.00 102.06 90.00
Space group Cm (No. 8)
Inequivalent atoms, fractional coordinates:
Li: 0.0000 0.0000 0.0000 (multiplicity 2)
Li: 0.2293 0.0000 0.6871 (multiplicity 2)
Ru: 0.2686 0.5000 0.2995 (multiplicity 2)
Ru: 0.4075 0.0000 0.2124 (multiplicity 2)
Br: 0.1172 0.5000 0.8505 (multiplicity 2)
Br: 0.3488 0.5000 0.5438 (multiplicity 2)

Output
The raw formation energy comes out at -0.3487 eV per atom. As for the polymorph energy (0 for the lowest one): 0.017 eV/atom. The calculation puts the calculated total energy at -55.634 eV for the cell shown. The value obtained for the volume is 62.9 Å³/f.u.


Repeat the fifth record exactly.
First-principles (PBE) data for a relaxed structure of Y2Bi2Ir, as listed in Alexandria via LeMat-Bulk.

a b c (Å): 4.1412 4.1412 16.8315
angles (deg): 90.00 90.00 90.00
Space group I4/mmm (No. 139)
Inequivalent atoms, fractional coordinates:
Y: 0.0000 0.0000 0.0919 (multiplicity 4)
Bi: 0.0000 0.5000 0.2500 (multiplicity 4)
Ir: 0.0000 0.0000 0.5000 (multiplicity 2)

Output
Its formation energy is 0.0351 eV per atom. As for the polymorph energy (0 for the lowest one): 0.380 eV/atom. The calculation puts the calculated total energy at -58.751 eV for the cell shown. The value obtained for the volume is 144.3 Å³/f.u.


Among the records above, which one has the highest calculated total energy? KAg3P